(1)
SrTl2Hg | PBE | optimized geometry

a = 6.3455 Å, b = 6.3455 Å, c = 5.3218 Å
α = 65.69°, β = 65.69°, γ = 40.33°
Fractional coordinates of all 4 atoms:
Sr 0.2500 0.2500 0.2500
Tl 0.0168 0.0168 0.9829
Tl 0.4832 0.4832 0.5171
Hg 0.7500 0.7500 0.7500

Output
SG ... C2/m, No. 12



(2)
SrTlHg | PBE | optimized geometry

a = 5.1063 Å, b = 6.5021 Å, c = 6.6053 Å
α = 75.74°, β = 67.26°, γ = 66.88°
Fractional coordinates of all 6 atoms:
Sr 0.5379 0.2173 0.7070
Sr 0.4621 0.7827 0.2930
Tl 0.8344 0.2226 0.1086
Tl 0.1656 0.7774 0.8914
Hg 0.1625 0.3708 0.3042
Hg 0.8375 0.6292 0.6958

Output
Energy above the most stable polymorph in this dataset ... 0.000 eV per atom
SG ... C2/m, No. 12



(3)
Sr4Tl5Hg2 | PBE | optimized geometry

a = 4.0758 Å, b = 8.3667 Å, c = 10.6530 Å
α = 94.79°, β = 90.00°, γ = 90.00°
Fractional coordinates of all 11 atoms:
Sr 0.5000 0.7394 0.5699
Sr 0.5000 0.1834 0.8746
Sr 0.5000 0.2606 0.4301
Sr 0.5000 0.8166 0.1254
Tl 0.0000 0.5533 0.3082
Tl 0.0000 0.1765 0.1493
Tl 0.0000 0.5000 0.0000
Tl 0.0000 0.8235 0.8507
Tl 0.0000 0.4467 0.6918
Hg 0.0000 0.0665 0.6337
Hg 0.0000 0.9335 0.3663

Output
SG ... P2/m, No. 10



(4)
SrTl3Hg | PBE | optimized geometry

a = 5.2212 Å, b = 9.7756 Å, c = 12.3612 Å
α = 90.00°, β = 90.00°, γ = 90.00°
Fractional coordinates of all 20 atoms:
Sr 0.7500 0.7355 0.9955
Sr 0.2500 0.7645 0.4955
Sr 0.7500 0.2355 0.5045
Sr 0.2500 0.2645 0.0045
Tl 0.2500 0.5910 0.1538
Tl 0.7500 0.4090 0.8462
Tl 0.2500 0.0910 0.3462
Tl 0.7500 0.9090 0.6538
Tl 0.2500 0.4003 0.6551
Tl 0.7500 0.0997 0.1551
Tl 0.2500 0.9003 0.8449
Tl 0.7500 0.5846 0.6267
Tl 0.2500 0.4154 0.3733
Tl 0.7500 0.0846 0.8733
Tl 0.7500 0.5997 0.3449
Tl 0.2500 0.9154 0.1267
Hg 0.2500 0.0862 0.6350
Hg 0.2500 0.5862 0.8650
Hg 0.7500 0.4138 0.1350
Hg 0.7500 0.9138 0.3650

Output
Energy above the most stable polymorph in this dataset ... 0.039 eV per atom
SG ... Pnma, No. 62



(5)
Sr3Tl3Hg8 | PBE | optimized geometry

a = 5.2715 Å, b = 9.6241 Å, c = 9.6241 Å
α = 62.96°, β = 74.11°, γ = 74.11°
Fractional coordinates of all 14 atoms:
Sr 0.5000 0.5000 0.5000
Sr 0.7903 0.2097 0.2097
Sr 0.2097 0.7903 0.7903
Tl 0.5000 0.0000 0.0000
Tl 0.0000 0.8117 0.1883
Tl 0.0000 0.1883 0.8117
Hg 0.6453 0.0734 0.6359
Hg 0.3547 0.9266 0.3641
Hg 0.6453 0.6359 0.0734
Hg 0.3547 0.3641 0.9266
Hg 0.8367 0.8054 0.5212
Hg 0.1633 0.1946 0.4788
Hg 0.8367 0.5212 0.8054
Hg 0.1633 0.4788 0.1946

Output
SG ... Immm, No. 71



(6)
Sr2TlHg3 | PBE | optimized geometry

a = 6.4736 Å, b = 6.4736 Å, c = 9.7597 Å
α = 103.97°, β = 103.97°, γ = 105.78°
Fractional coordinates of all 12 atoms:
Sr 0.2500 0.7500 0.5000
Sr 0.7530 0.7530 0.0000
Sr 0.7500 0.2500 0.5000
Sr 0.2470 0.2470 0.0000
Tl 0.6666 0.6666 0.3331
Tl 0.3334 0.3334 0.6669
Hg 0.3312 0.8344 0.1656
Hg 0.1656 0.6688 0.8344
Hg 0.6688 0.1656 0.8344
Hg 0.8344 0.3312 0.1656
Hg 0.1656 0.1656 0.3312
Hg 0.8344 0.8344 0.6688

Output
Energy above the most stable polymorph in this dataset ... 0.000 eV per atom
SG ... Fmmm, No. 69



(7)
SrTl3Hg | PBE | optimized geometry

a = 5.5428 Å, b = 6.3519 Å, c = 9.0367 Å
α = 106.64°, β = 89.97°, γ = 90.03°
Fractional coordinates of all 10 atoms:
Sr 0.3808 0.5848 0.1266
Sr 0.8812 0.0900 0.6794
Tl 0.8812 0.4966 0.4798
Tl 0.3808 0.1781 0.3263
Tl 0.8811 0.6777 0.9056
Tl 0.8807 0.2213 0.0976
Tl 0.3813 0.4535 0.7085
Tl 0.3809 0.9971 0.9005
Hg 0.3812 0.8155 0.5174
Hg 0.8808 0.8593 0.2887

Output
Energy above the most stable polymorph in this dataset ... 0.000 eV per atom
SG ... P2_1/m, No. 11



(8)
SrTl2Hg7 | PBE | optimized geometry

a = 5.1365 Å, b = 5.1365 Å, c = 13.3160 Å
α = 90.00°, β = 90.00°, γ = 120.00°
Fractional coordinates of all 10 atoms:
Sr 0.0000 0.0000 0.0204
Tl 0.3333 0.6667 0.5872
Tl 0.6667 0.3333 0.4288
Hg 0.6667 0.3333 0.6692
Hg 0.6667 0.3333 0.9030
Hg 0.0000 0.0000 0.7550
Hg 0.0000 0.0000 0.2670
Hg 0.3333 0.6667 0.3407
Hg 0.3333 0.6667 0.8819
Hg 0.6667 0.3333 0.1633

Output
SG ... P3m1, No. 156



(9)
Sr3TlHg12 | PBE | optimized geometry

a = 4.8969 Å, b = 4.8969 Å, c = 18.9171 Å
α = 90.00°, β = 90.00°, γ = 90.00°
Fractional coordinates of all 16 atoms:
Sr 0.0000 0.0000 0.2433
Sr 0.0000 0.0000 0.5000
Sr 0.0000 0.0000 0.7567
Tl 0.0000 0.0000 0.0000
Hg 0.5000 0.5000 0.0000
Hg 0.5000 0.5000 0.2476
Hg 0.5000 0.5000 0.5000
Hg 0.5000 0.5000 0.7524
Hg 0.5000 0.0000 0.1195
Hg 0.5000 0.0000 0.3727
Hg 0.5000 0.0000 0.6273
Hg 0.5000 0.0000 0.8805
Hg 0.0000 0.5000 0.1195
Hg 0.0000 0.5000 0.3727
Hg 0.0000 0.5000 0.6273
Hg 0.0000 0.5000 0.8805

Output
SG ... P4/mmm, No. 123



(10)
SrTl2Hg8 | PBE | optimized geometry

a = 5.2551 Å, b = 9.0460 Å, c = 9.5410 Å
α = 61.70°, β = 73.62°, γ = 53.49°
Fractional coordinates of all 11 atoms:
Sr 0.5000 0.0000 0.0000
Tl 0.0000 0.3240 0.3519
Tl 0.0000 0.6760 0.6481
Hg 0.8021 0.0792 0.2763
Hg 0.8021 0.3556 0.7237
Hg 0.3444 0.4093 0.0000
Hg 0.5000 0.7942 0.4117
Hg 0.5000 0.2058 0.5883
Hg 0.6556 0.5907 0.0000
Hg 0.1979 0.6444 0.2763
Hg 0.1979 0.9208 0.7237

Output
Energy above the most stable polymorph in this dataset ... 0.020 eV per atom
SG ... C2/m, No. 12



(11)
SrTl2Hg | PBE | optimized geometry

a = 4.5835 Å, b = 5.0917 Å, c = 5.2460 Å
α = 90.00°, β = 90.00°, γ = 90.00°
Fractional coordinates of all 4 atoms:
Sr 0.0000 0.5000 0.5000
Tl 0.0000 0.0000 0.0000
Tl 0.5000 0.5000 0.0000
Hg 0.5000 0.0000 0.5000

Output
SG ... Pmmm, No. 47



(12)
SrTl6Hg23 | PBE | optimized geometry

a = 10.6721 Å, b = 10.6664 Å, c = 10.6740 Å
α = 60.01°, β = 59.97°, γ = 60.02°
Fractional coordinates of all 30 atoms:
Sr 0.5000 0.5000 0.5000
Tl 0.7818 0.7817 0.2182
Tl 0.2182 0.2183 0.7818
Tl 0.7818 0.2183 0.2182
Tl 0.2182 0.7817 0.7819
Tl 0.7817 0.2183 0.7818
Tl 0.2182 0.7817 0.2182
Hg 0.5438 0.1520 0.1521
Hg 0.4562 0.8480 0.8479
Hg 0.1521 0.1520 0.5439
Hg 0.1521 0.1520 0.1521
Hg 0.8479 0.8480 0.4561
Hg 0.8479 0.8480 0.8479
Hg 0.1521 0.5435 0.1522
Hg 0.8479 0.4565 0.8478
Hg 0.5000 0.5000 0.0000
Hg 0.0000 0.0000 0.5000
Hg 0.5000 0.0000 0.0000
Hg 0.0000 0.5000 0.5000
Hg 0.5000 0.0000 0.5000
Hg 0.0000 0.5000 0.0000
Hg 0.8790 0.3735 0.3738
Hg 0.1210 0.6265 0.6262
Hg 0.3738 0.3735 0.8790
Hg 0.3737 0.3736 0.3737
Hg 0.6262 0.6264 0.1210
Hg 0.6263 0.6264 0.6263
Hg 0.3736 0.8790 0.3737
Hg 0.6264 0.1210 0.6263
Hg 0.0000 0.0000 0.0000

Output
SG ... Fmmm, No. 69



(13)
Sr3Tl9Hg2 | PBE | optimized geometry

a = 5.1445 Å, b = 9.6701 Å, c = 9.6701 Å
α = 77.84°, β = 74.57°, γ = 74.57°
Fractional coordinates of all 14 atoms:
Sr 0.0000 0.0000 0.0000
Sr 0.6966 0.3034 0.3034
Sr 0.3034 0.6966 0.6966
Tl 0.0000 0.5000 0.5000
Tl 0.6372 0.9910 0.7346
Tl 0.3628 0.0090 0.2654
Tl 0.6372 0.7346 0.9910
Tl 0.3628 0.2654 0.0090
Tl 0.8509 0.8704 0.4277
Tl 0.1491 0.1296 0.5723
Tl 0.8509 0.4277 0.8704
Tl 0.1491 0.5723 0.1296
Hg 0.5000 0.3347 0.6653
Hg 0.5000 0.6653 0.3347

Output
SG ... Immm, No. 71



(14)
SrTl12Hg6 | PBE | optimized geometry

a = 8.6552 Å, b = 8.6552 Å, c = 8.6552 Å
α = 103.28°, β = 103.28°, γ = 103.28°
Fractional coordinates of all 19 atoms:
Sr 0.0000 0.0000 0.0000
Tl 0.5633 0.1937 0.5633
Tl 0.1937 0.5633 0.5633
Tl 0.5633 0.5633 0.1937
Tl 0.4367 0.8063 0.4367
Tl 0.8063 0.4367 0.4367
Tl 0.4367 0.4367 0.8063
Tl 0.2674 0.0001 0.7328
Tl 0.2672 0.7326 0.9999
Tl 0.9999 0.2672 0.7326
Tl 0.7326 0.9999 0.2672
Tl 0.7328 0.2674 0.0001
Tl 0.0001 0.7328 0.2674
Hg 0.1600 0.1601 0.4127
Hg 0.8399 0.5873 0.8400
Hg 0.5873 0.8400 0.8399
Hg 0.8400 0.8399 0.5873
Hg 0.1601 0.4127 0.1600
Hg 0.4127 0.1600 0.1601

Output
Energy above the most stable polymorph in this dataset ... 0.000 eV per atom
SG ... R-3m, No. 166



(15)
SrTl14Hg | PBE | optimized geometry

a = 7.1116 Å, b = 7.1116 Å, c = 11.3506 Å
α = 90.00°, β = 90.00°, γ = 121.02°
Fractional coordinates of all 16 atoms:
Sr 0.0337 0.9663 0.5000
Tl 0.2161 0.7839 0.0000
Tl 0.7107 0.2893 0.0000
Tl 0.0302 0.4635 0.5000
Tl 0.2146 0.2906 0.0000
Tl 0.5365 0.9698 0.5000
Tl 0.7094 0.7854 0.0000
Tl 0.3822 0.1260 0.7527
Tl 0.3822 0.1260 0.2473
Tl 0.8740 0.6178 0.7527
Tl 0.8740 0.6178 0.2473
Tl 0.3779 0.6221 0.7386
Tl 0.3779 0.6221 0.2614
Tl 0.8704 0.1296 0.7551
Tl 0.8704 0.1296 0.2449
Hg 0.5399 0.4601 0.5000

Output
SG ... Amm2, No. 38



(16)
Sr3TlHg | PBE | optimized geometry

a = 8.4777 Å, b = 10.0653 Å, c = 10.0653 Å
α = 73.99°, β = 90.06°, γ = 90.06°
Fractional coordinates of all 20 atoms:
Sr 0.4918 0.2877 0.9577
Sr 0.0082 0.0423 0.7123
Sr 0.5082 0.7123 0.0423
Sr 0.9918 0.9577 0.2877
Sr 0.9919 0.7121 0.0412
Sr 0.5081 0.9588 0.2879
Sr 0.0081 0.2879 0.9588
Sr 0.4919 0.0412 0.7121
Sr 0.4996 0.3733 0.3734
Sr 0.0004 0.6266 0.6267
Sr 0.5004 0.6267 0.6266
Sr 0.9996 0.3734 0.3733
Tl 0.2500 0.9881 0.0119
Tl 0.7500 0.0119 0.9881
Tl 0.2500 0.6725 0.3275
Tl 0.7500 0.3275 0.6725
Hg 0.7495 0.4399 0.1106
Hg 0.7505 0.8894 0.5601
Hg 0.2505 0.5601 0.8894
Hg 0.2495 0.1106 0.4399

Output
Energy above the most stable polymorph in this dataset ... 0.120 eV per atom
SG ... C2/c, No. 15



(17)
SrTl2Hg | PBE | optimized geometry

a = 5.2944 Å, b = 6.8364 Å, c = 6.7901 Å
α = 89.80°, β = 90.00°, γ = 90.00°
Fractional coordinates of all 8 atoms:
Sr 0.7500 0.3881 0.7489
Sr 0.2500 0.6119 0.2511
Tl 0.7500 0.8628 0.0001
Tl 0.2500 0.1372 0.9999
Tl 0.7500 0.8633 0.4965
Tl 0.2500 0.1367 0.5035
Hg 0.7500 0.3000 0.2489
Hg 0.2500 0.7000 0.7511

Output
SG ... P2_1/m, No. 11



(18)
SrTl5Hg4 | PBE | optimized geometry

a = 5.3361 Å, b = 6.8727 Å, c = 9.5364 Å
α = 117.23°, β = 106.25°, γ = 90.00°
Fractional coordinates of all 10 atoms:
Sr 0.5000 0.0000 0.0000
Tl 0.2947 0.3984 0.5893
Tl 0.1071 0.8441 0.2142
Tl 0.8929 0.1559 0.7858
Tl 0.5000 0.5000 0.0000
Tl 0.7053 0.6016 0.4107
Hg 0.7028 0.0985 0.4057
Hg 0.0984 0.3446 0.1968
Hg 0.2972 0.9015 0.5943
Hg 0.9016 0.6554 0.8032

Output
Energy above the most stable polymorph in this dataset ... 0.000 eV per atom
SG ... C2/m, No. 12



(19)
Sr2TlHg4 | PBE | optimized geometry

a = 5.4875 Å, b = 5.4875 Å, c = 9.1365 Å
α = 72.52°, β = 72.52°, γ = 60.00°
Fractional coordinates of all 7 atoms:
Sr 0.7432 0.7432 0.7703
Sr 0.2568 0.2568 0.2297
Tl 0.0000 0.0000 0.0000
Hg 0.8711 0.8711 0.3866
Hg 0.1289 0.1289 0.6134
Hg 0.6126 0.6126 0.1622
Hg 0.3874 0.3874 0.8378

Output
Energy above the most stable polymorph in this dataset ... 0.000 eV per atom
SG ... R-3m, No. 166



(20)
SrTl5Hg4 | PBE | optimized geometry

a = 4.9656 Å, b = 8.5836 Å, c = 8.8306 Å
α = 120.20°, β = 106.33°, γ = 90.00°
Fractional coordinates of all 10 atoms:
Sr 0.5000 0.0000 0.0000
Tl 0.8285 0.3916 0.6570
Tl 0.8159 0.7668 0.6318
Tl 0.1841 0.2332 0.3682
Tl 0.5000 0.5000 0.0000
Tl 0.1715 0.6084 0.3430
Hg 0.3202 0.0635 0.6404
Hg 0.9710 0.2236 0.9420
Hg 0.6798 0.9365 0.3596
Hg 0.0290 0.7764 0.0580

Output
Energy above the most stable polymorph in this dataset ... 0.034 eV per atom
SG ... C2/m, No. 12



| no. | total magnetic moment (μB per formula unit) | formation energy from the elements (eV/atom) |
| --- | --- | --- |
| 1 | 0.0 | -0.268 |
| 2 | 0.0 | -0.417 |
| 3 | 0.0 | -0.353 |
| 4 | 0.0 | -0.197 |
| 5 | 0.0 | -0.308 |
| 6 | 0.0 | -0.449 |
| 7 | 0.0 | -0.235 |
| 8 | 0.0 | -0.124 |
| 9 | 0.0 | -0.310 |
| 10 | 0.0 | -0.113 |
| 11 | 0.0 | -0.284 |
| 12 | 0.0 | -0.040 |
| 13 | 0.0 | -0.227 |
| 14 | 0.0 | -0.043 |
| 15 | 0.0 | -0.056 |
| 16 | 0.0 | -0.286 |
| 17 | 0.0 | -0.309 |
| 18 | 0.0 | -0.131 |
| 19 | 0.0 | -0.329 |
| 20 | 0.0 | -0.097 |